# KPd2F5

A PBEsol-optimized structure of KPd2F5 (SCAN, the Alexandria database).

Summary:
Raw formation energy (eV/atom): -1.831
Symmetry: Pnma
Total energy (eV per atom): -13.28

Cell: 6.1088 7.4169 10.6503 Å, 90.00 90.00 90.00°
Last column: nearest neighbours and their distance in Å.
Atoms (fractional coordinates):
K 0.0159 0.2500 0.3743  8 F 2.70-2.94
K 0.5159 0.2500 0.1257  8 F 2.70-2.94
K 0.9841 0.7500 0.6257  8 F 2.70-2.94
K 0.4841 0.7500 0.8743  8 F 2.70-2.94
Pd 0.5000 0.0000 0.5000  6 F 2.15-2.16
Pd 0.0000 0.5000 0.0000  6 F 2.15-2.16
Pd 0.5000 0.5000 0.5000  6 F 2.15-2.16
Pd 0.0000 0.0000 0.0000  6 F 2.15-2.16
Pd 0.2015 0.2500 0.7203  4 F 1.97
Pd 0.7015 0.2500 0.7797  4 F 1.97
Pd 0.7985 0.7500 0.2797  4 F 1.97
Pd 0.2985 0.7500 0.2203  4 F 1.97
F 0.7177 0.0566 0.6536  2 Pd 1.97-2.15
F 0.2177 0.4434 0.8464  2 Pd 1.97-2.15
F 0.2823 0.5566 0.3464  2 Pd 1.97-2.15
F 0.7823 0.9434 0.1536  2 Pd 1.97-2.15
F 0.2823 0.9434 0.3464  2 Pd 1.97-2.15
F 0.7823 0.5566 0.1536  2 Pd 1.97-2.15
F 0.7177 0.4434 0.6536  2 Pd 1.97-2.15
F 0.2177 0.0566 0.8464  2 Pd 1.97-2.15
F 0.8099 0.9332 0.4132  2 Pd 1.97-2.16
F 0.3099 0.5668 0.0868  2 Pd 1.97-2.16
F 0.1901 0.4332 0.5868  2 Pd 1.97-2.16
F 0.6901 0.0668 0.9132  2 Pd 1.97-2.16
F 0.0409 0.2500 0.0989  2 Pd 2.15
F 0.5409 0.2500 0.4011  2 Pd 2.15
F 0.9591 0.7500 0.9011  2 Pd 2.15
F 0.4591 0.7500 0.5989  2 Pd 2.15
F 0.3099 0.9332 0.0868  2 Pd 1.97-2.16
F 0.8099 0.5668 0.4132  2 Pd 1.97-2.16
F 0.6901 0.4332 0.9132  2 Pd 1.97-2.16
F 0.1901 0.0668 0.5868  2 Pd 1.97-2.16